TbDyTh2Se5: optimized geometry, PBE.

a = 4.006 Å, b = 17.233 Å, c = 13.916 Å
α = 90.00°, β = 90.00°, γ = 90.00°
Space group Cmc2_1 (No. 36)
Inequivalent atoms, fractional coordinates:
Tb: 0.000 0.055 0.000
Dy: 0.000 0.263 0.590
Th: 0.000 0.365 0.857
Th: 0.000 0.416 0.177
Se: 0.000 0.004 0.809
Se: 0.000 0.110 0.519
Se: 0.000 0.210 0.946
Se: 0.000 0.245 0.242
Se: 0.000 0.420 0.636

E_form (uncorrected) in meV per atom: -1601
Crystal system: orthorhombic
DOS at the Fermi energy in states/eV per cell: 23.55

=====

Tb2Dy3ThSe6: optimized geometry, PBE.

a = 17.895 Å, b = 4.089 Å, c = 8.250 Å
α = 90.00°, β = 103.21°, γ = 90.00°
Space group C2/m (No. 12)
Inequivalent atoms, fractional coordinates:
Tb: 0.163 0.000 0.328
Dy: 0.000 0.500 0.500
Dy: 0.163 0.000 0.834
Th: 0.000 0.500 0.000
Se: 0.000 0.000 0.261
Se: 0.168 0.500 0.585
Se: 0.172 0.500 0.085

E_form (uncorrected) in meV per atom: -1713
Crystal system: monoclinic
DOS at the Fermi energy in states/eV per cell: 13.46

=====

Tb3Dy2ThSe6: optimized geometry, PBE.

a = 17.861 Å, b = 4.090 Å, c = 8.262 Å
α = 90.00°, β = 102.49°, γ = 90.00°
Space group C2/m (No. 12)
Inequivalent atoms, fractional coordinates:
Tb: 0.000 0.000 0.000
Tb: 0.161 0.500 0.334
Dy: 0.164 0.500 0.829
Th: 0.000 0.000 0.500
Se: 0.002 0.500 0.761
Se: 0.169 0.000 0.083
Se: 0.172 0.000 0.588

E_form (uncorrected) in meV per atom: -1717
Crystal system: monoclinic
DOS at the Fermi energy in states/eV per cell: 13.49

=====

Tb2DyTh3Se6: optimized geometry, PBE.

a = 6.988 Å, b = 12.022 Å, c = 7.556 Å
α = 90.00°, β = 107.73°, γ = 90.00°
Space group C2/m (No. 12)
Inequivalent atoms, fractional coordinates:
Tb: 0.000 0.166 0.000
Dy: 0.000 0.500 0.000
Th: 0.000 0.000 0.500
Th: 0.000 0.333 0.500
Se: 0.244 0.334 0.234
Se: 0.246 0.000 0.235

E_form (uncorrected) in meV per atom: -1644
Crystal system: monoclinic
DOS at the Fermi energy in states/eV per cell: 15.89

=====

Tb3Dy4ThSe8: optimized geometry, PBE.

a = 8.1959 Å, b = 8.1959 Å, c = 20.1313 Å
α = 90.00°, β = 90.00°, γ = 120.00°
Space group R-3m (No. 166, hexagonal axes)
Inequivalent atoms, fractional coordinates:
Tb: 0.0000 0.5000 0.0000
Dy: 0.0000 0.0000 0.5000
Dy: 0.0000 0.5000 0.5000
Th: 0.0000 0.0000 0.0000
Se: 0.0000 0.0000 0.2493
Se: 0.0049 0.5025 0.2480

E_form (uncorrected) in meV per atom: -1719
Crystal system: trigonal
DOS at the Fermi energy in states/eV per cell: 33.79

=====

Tb2DyTl3Se6: optimized geometry, PBE.

a = 7.271 Å, b = 12.594 Å, c = 8.142 Å
α = 90.00°, β = 107.32°, γ = 90.00°
Space group C2/m (No. 12)
Inequivalent atoms, fractional coordinates:
Tb: 0.000 0.167 0.000
Dy: 0.000 0.500 0.000
Tl: 0.000 0.000 0.500
Tl: 0.000 0.333 0.500
Se: 0.234 0.334 0.205
Se: 0.236 0.000 0.205

E_form (uncorrected) in meV per atom: -1390
Crystal system: monoclinic

=====

Tb3DyTl4Se8: optimized geometry, PBE.

a = 8.3993 Å, b = 8.3993 Å, c = 23.3164 Å
α = 90.00°, β = 90.00°, γ = 120.00°
Space group R-3m (No. 166, hexagonal axes)
Inequivalent atoms, fractional coordinates:
Tb: 0.0000 0.5000 0.0000
Dy: 0.0000 0.0000 0.0000
Tl: 0.0000 0.0000 0.5000
Tl: 0.0000 0.5000 0.5000
Se: 0.0000 0.0000 0.2650
Se: 0.0010 0.5005 0.7349

E_form (uncorrected) in meV per atom: -1390
Crystal system: trigonal

=====

TbDy2Tm3Se6: optimized geometry, PBE.

a = 17.680 Å, b = 4.031 Å, c = 8.142 Å
α = 90.00°, β = 104.04°, γ = 90.00°
Space group C2/m (No. 12)
Inequivalent atoms, fractional coordinates:
Tb: 0.000 0.000 0.000
Dy: 0.166 0.500 0.332
Tm: 0.000 0.000 0.500
Tm: 0.166 0.500 0.833
Se: 0.001 0.500 0.745
Se: 0.166 0.000 0.586
Se: 0.169 0.000 0.080

E_form (uncorrected) in meV per atom: -1709
Crystal system: monoclinic
DOS at the Fermi energy in states/eV per cell: 10.85